[1]
DFT (PBE-GGA) results for a relaxed CsCdRuCl6 crystal.

The value obtained for the formation energy from raw total energies is -1.045 eV/atom. The value obtained for the density of states at the Fermi level is 7.9 states/eV/cell. Its total energy is -3.503 eV per atom.

a = 6.6682 Å, b = 6.6682 Å, c = 7.7215 Å
α = 90.00°, β = 90.00°, γ = 120.00°
Last column: nearest neighbours and their distance in Å.
Space group P312 (No. 149)
Asymmetric unit:
Cs (0.0000, 0.0000, 0.0000) [1 per cell]  6 Cl 3.50
Cd (0.6667, 0.3333, 0.5000) [1 per cell]  6 Cl 2.68
Ru (0.3333, 0.6667, 0.5000) [1 per cell]  6 Cl 2.38
Cl (0.0338, 0.3845, 0.6783) [6 per cell]  1 Ru 2.38

---

[2]
DFT (PBE-GGA) results for a relaxed Er3IrO7 crystal.

The value obtained for the formation energy from raw total energies is -2.707 eV/atom. The value obtained for the density of states at the Fermi level is 16.6 states/eV/cell. Its total energy is -7.912 eV per atom.

a = 7.4645 Å, b = 10.4381 Å, c = 7.3402 Å
α = 90.00°, β = 90.00°, γ = 90.00°
Last column: nearest neighbours and their distance in Å.
Space group C222_1 (No. 20)
Asymmetric unit:
Er (0.0265, 0.0000, 0.0000) [4 per cell]  6 O 2.30-2.39
Er (0.2333, 0.2667, 0.7544) [8 per cell]  7 O 2.21-2.40
Ir (0.9995, 0.5000, 0.0000) [4 per cell]  6 O 1.96-2.00
O (0.0000, 0.1314, 0.2500) [4 per cell]  4 Er 2.26-2.30
O (0.0000, 0.1370, 0.7500) [4 per cell]  4 Er 2.21-2.33
O (0.0000, 0.4245, 0.7500) [4 per cell]  2 Ir 2.00
O (0.1894, 0.3730, 0.0328) [8 per cell]  1 Ir 1.96
O (0.2048, 0.3770, 0.4751) [8 per cell]  1 Ir 2.00

---

[3]
DFT (PBE-GGA) results for a relaxed DyTmC crystal.

As for the formation enthalpy at 0 K: -287 meV per atom. The value obtained for the density of states at the Fermi level is 2.1 states/eV/cell. Its total energy is -6.386 eV per atom. The calculation puts the energy above the lowest structure with this stoichiometry at 2.3 kJ per mole of atoms.

a = 3.5462 Å, b = 3.5462 Å, c = 6.1784 Å
α = 90.00°, β = 90.00°, γ = 120.00°
Last column: nearest neighbours and their distance in Å.
Space group P3m1 (No. 156)
Asymmetric unit:
Dy (0.0000, 0.0000, 0.0000) [1 per cell]  3 C 2.46
Tm (0.3333, 0.6667, 0.4341) [1 per cell]  3 C 2.43
C (0.6667, 0.3333, 0.2212) [1 per cell]  3 Tm 2.43, 3 Dy 2.46